The following is a DFT calculation (PBE) of a relaxed HfUTcMo crystal.

a = 6.669 Å, b = 6.669 Å, c = 6.669 Å
α = 90.00°, β = 90.00°, γ = 90.00°
Space group F-43m (No. 216)
Asymmetric unit:
Hf1 0.000 0.000 0.000 (multiplicity 4)
U1 0.000 0.000 0.500 (multiplicity 4)
Tc1 0.250 0.250 0.250 (multiplicity 4)
Mo1 0.250 0.250 0.750 (multiplicity 4)

Summary:
The formation energy comes out at -0.053 eV/atom. For the total magnetization, the calculation gives 0.250 μB/atom. Its total energy is -170.6 eV/cell.